Record 1
This record from Alexandria via LeMat-Bulk describes an optimized crystal structure of La2TePt. The functional is GGA-PBE.

Summary:
calculated volume	126.4	Å³/cell

abc: 4.320 4.320 8.208
angles: 74.74 74.74 60.00
Fractional coordinates of all 4 atoms:
Pt 0.667 0.667 0.999
La 0.070 0.070 0.789
La 0.263 0.263 0.211
Te 0.499 0.499 0.502

=====

Record 2
This record from Alexandria via LeMat-Bulk describes an optimized crystal structure of LaTe2Pt. The functional is GGA-PBE.

Summary:
energy above the lowest structure with this stoichiometry	554	meV/atom
calculated volume	169.4	Å³/cell

abc: 8.700 8.700 8.700
angles: 32.54 32.54 32.54
Each line ends with the local moment (μB).
Fractional coordinates of all 4 atoms:
Pt 0.000 0.000 0.000  0.53
Te 0.102 0.102 0.102  0.06
Te 0.898 0.898 0.898  0.06
La 0.500 0.500 0.500  0.03

=====

Record 3
This record from Alexandria via LeMat-Bulk describes an optimized crystal structure of LaTePt. The functional is GGA-PBE.

Summary:
calculated volume	338.7	Å³/cell

abc: 4.108 19.112 4.314
angles: 90.00 90.00 90.00
Fractional coordinates of all 12 atoms:
Pt 0.500 0.040 0.750
Pt 0.000 0.540 0.750
Te 0.000 0.319 0.250
Te 0.500 0.819 0.250
Pt 0.500 0.960 0.250
Te 0.000 0.681 0.750
Te 0.500 0.181 0.750
La 0.000 0.103 0.250
Pt 0.000 0.460 0.250
La 0.500 0.603 0.250
La 0.500 0.397 0.750
La 0.000 0.897 0.750

=====

| no. | N(E_F) (states/eV/f.u.) | formation energy without anion corrections (kJ/mol of atoms) | total moment (μB/atom) |
| --- | --- | --- | --- |
| 1 | 1.6 | -129.1 | 0.000 |
| 2 | 10.6 | -44.5 | 0.212 |
| 3 | 1.6 | -115.1 | 0.000 |